Compound: YSb2AsCl
Source: Alexandria via LeMat-Bulk
Functional: GGA-PBEsol
Structure: relaxed

abc: 4.9590 5.2774 5.2774
angles: 90.00 90.00 90.00
Closest atoms and distances in Å follow each position.
Positions (direct):
As 0.5000 0.5000 0.5000  8 Sb 3.62, 4 Y 3.73
Sb 0.0000 0.5000 0.0000  2 Cl 2.64
Sb 0.0000 0.0000 0.5000  2 Cl 2.64
Y 0.5000 0.0000 0.0000  2 Cl 2.48
Cl 0.0000 0.0000 0.0000  2 Y 2.48, 4 Sb 2.64

Summary:
The calculation puts the uncorrected formation energy at 0.273 eV/atom. As for the symmetry: P4/mmm (123). For the total energy, the calculation gives -4.337 eV per atom.